First-principles (GGA-PBE) data for an optimized crystal structure of CaTb2HoSe4, as listed in the Alexandria database.

Cell and atoms, written as CIF:
```
data_CaTb2HoSe4
_cell_length_a 7.107
_cell_length_b 4.085
_cell_length_c 7.126
_cell_angle_alpha 90.00
_cell_angle_beta 109.15
_cell_angle_gamma 90.00
_space_group_name_H-M_alt 'P 1 2/m 1'
_space_group_IT_number 10
_space_group_name_Hall '-P 2y'
loop_
_atom_site_label
_atom_site_type_symbol
_atom_site_fract_x
_atom_site_fract_y
_atom_site_fract_z
Ca1 Ca 0.000 0.000 0.000
Tb1 Tb 0.000 0.500 0.500
Tb2 Tb 0.500 0.000 0.500
Ho1 Ho 0.500 0.500 0.000
Se1 Se 0.252 0.000 0.753
Se2 Se 0.252 0.500 0.249
```

Values from the calculation:
* formation energy from raw total energies: -1.812 eV per atom



First-principles (GGA-PBE) data for an optimized crystal structure of Ba3Tl3Sn2, as listed in the Alexandria database.

Cell and atoms, written as CIF:
```
data_Ba3Tl3Sn2
_cell_length_a 9.478
_cell_length_b 17.571
_cell_length_c 7.093
_cell_angle_alpha 90.00
_cell_angle_beta 90.00
_cell_angle_gamma 90.00
_space_group_name_H-M_alt 'P n m a'
_space_group_IT_number 62
_space_group_name_Hall '-P 2ac 2n'
loop_
_atom_site_label
_atom_site_type_symbol
_atom_site_fract_x
_atom_site_fract_y
_atom_site_fract_z
Ba1 Ba 0.037 0.106 0.115
Ba2 Ba 0.176 0.250 0.626
Tl1 Tl 0.178 0.750 0.645
Tl2 Tl 0.190 0.048 0.549
Sn1 Sn 0.110 0.610 0.383
```

Values from the calculation:
* ΔE to the lowest computed polymorph: 0.030 eV per atom
* formation enthalpy at 0 K: -454 meV per atom



First-principles (GGA-PBE) data for an optimized crystal structure of Pr2Dy9Sc, as listed in the Alexandria database.

Cell and atoms, written as CIF:
```
data_Pr2Dy9Sc
_cell_length_a 5.026
_cell_length_b 5.026
_cell_length_c 15.030
_cell_angle_alpha 90.00
_cell_angle_beta 90.00
_cell_angle_gamma 90.00
_space_group_name_H-M_alt 'P 4/m m m'
_space_group_IT_number 123
_space_group_name_Hall '-P 4 2'
loop_
_atom_site_label
_atom_site_type_symbol
_atom_site_fract_x
_atom_site_fract_y
_atom_site_fract_z
Pr1 Pr 0.000 0.000 0.169
Dy1 Dy 0.000 0.500 0.000
Dy2 Dy 0.000 0.500 0.340
Dy3 Dy 0.500 0.500 0.170
Dy4 Dy 0.500 0.500 0.500
Sc1 Sc 0.000 0.000 0.500
```

Values from the calculation:
* formation enthalpy at 0 K: 33 meV per atom



First-principles (GGA-PBE) data for an optimized crystal structure of CdHgPbAu, as listed in the Alexandria database.

Cell and atoms, written as CIF:
```
data_CdHgPbAu
_cell_length_a 3.274
_cell_length_b 3.579
_cell_length_c 8.719
_cell_angle_alpha 90.00
_cell_angle_beta 100.75
_cell_angle_gamma 90.00
_space_group_name_H-M_alt 'P 1 m 1'
_space_group_IT_number 6
_space_group_name_Hall 'P -2y'
loop_
_atom_site_label
_atom_site_type_symbol
_atom_site_fract_x
_atom_site_fract_y
_atom_site_fract_z
Cd1 Cd 0.000 0.000 0.000
Hg1 Hg 0.168 0.500 0.283
Pb1 Pb 0.791 0.000 0.578
Au1 Au 0.406 0.500 0.809
```

Values from the calculation:
* ΔE to the lowest computed polymorph: 0.000 eV per atom
* formation enthalpy at 0 K: -42 meV per atom



First-principles (GGA-PBE) data for an optimized crystal structure of Hf4MoOs3, as listed in the Alexandria database.

Cell and atoms, written as CIF:
```
data_Hf4MoOs3
_cell_length_a 13.899
_cell_length_b 4.608
_cell_length_c 4.608
_cell_angle_alpha 90.00
_cell_angle_beta 109.29
_cell_angle_gamma 90.00
_space_group_name_H-M_alt 'C 1 2/m 1'
_space_group_IT_number 12
_space_group_name_Hall '-C 2y'
loop_
_atom_site_label
_atom_site_type_symbol
_atom_site_fract_x
_atom_site_fract_y
_atom_site_fract_z
Hf1 Hf 0.125 0.000 0.125
Hf2 Hf 0.125 0.500 0.625
Mo1 Mo 0.000 0.000 0.500
Os1 Os 0.000 0.500 0.000
Os2 Os 0.249 0.000 0.750
```

Values from the calculation:
* formation enthalpy at 0 K: -539 meV per atom



First-principles (GGA-PBE) data for an optimized crystal structure of Er6SnHg2, as listed in the Alexandria database.

Cell and atoms, written as CIF:
```
data_Er6SnHg2
_cell_length_a 9.402
_cell_length_b 9.719
_cell_length_c 11.159
_cell_angle_alpha 90.00
_cell_angle_beta 90.00
_cell_angle_gamma 90.00
_space_group_name_H-M_alt 'I m m m'
_space_group_IT_number 71
_space_group_name_Hall '-I 2 2'
loop_
_atom_site_label
_atom_site_type_symbol
_atom_site_fract_x
_atom_site_fract_y
_atom_site_fract_z
Er1 Er 0.000 0.196 0.235
Er2 Er 0.203 0.500 0.173
Er3 Er 0.212 0.311 0.500
Sn1 Sn 0.000 0.000 0.000
Sn2 Sn 0.000 0.000 0.500
Hg1 Hg 0.000 0.341 0.000
Hg2 Hg 0.000 0.500 0.370
```

Values from the calculation:
* formation enthalpy at 0 K: -336 meV per atom



no.,DFT total energy (eV/atom),spin magnetization (μB/f.u.),N(E_F) (states/eV/atom)
1,-5.53,0.00,0.347
2,-3.06,0.00,0.395
3,-4.74,0.00,1.536
4,-2.09,0.00,0.328
5,-11.08,0.00,0.830
6,-3.89,0.00,0.965